Density functional theory data (PBE) for a geometry-optimized Te2MoW2Se2S2 structure.

## Properties
excess energy over the best structure of this formula in the dataset	0	meV per atom
uncorrected formation energy	-4.51	eV/f.u.

abc: 3.3443 3.3443 22.7079
angles: 90.00 90.00 120.00
Space group P3m1 (No. 156)
Inequivalent atoms, fractional coordinates:
1 Te 0.0000 0.0000 0.0000 x1
2 Te 0.0000 0.0000 0.1671 x1
3 Mo 0.6667 0.3333 0.0836 x1
4 W 0.0000 0.0000 0.4189 x1
5 W 0.6667 0.3333 0.7306 x1
6 Se 0.6667 0.3333 0.3451 x1
7 Se 0.6667 0.3333 0.4926 x1
8 S 0.0000 0.0000 0.6636 x1
9 S 0.0000 0.0000 0.7975 x1

---

Density functional theory data (PBE) for a geometry-optimized GdYZnNi structure.

## Properties
formation enthalpy at 0 K	-0.33	eV/atom

abc: 6.997 6.997 6.997
angles: 90.00 90.00 90.00
Space group F-43m (No. 216)
Inequivalent atoms, fractional coordinates:
1 Gd 0.000 0.000 0.000 x4
2 Y 0.000 0.000 0.500 x4
3 Zn 0.250 0.250 0.250 x4
4 Ni 0.250 0.250 0.750 x4

---

Density functional theory data (PBE) for a geometry-optimized Sr4MgAu structure.

## Properties
formation enthalpy at 0 K	-0.26	eV/atom
excess energy over the best structure of this formula in the dataset	0	meV per atom

abc: 6.458 8.055 9.484
angles: 90.00 101.10 90.00
Space group P2_1/m (No. 11)
Inequivalent atoms, fractional coordinates:
1 Sr 0.128 0.250 0.060 x2
2 Sr 0.212 0.750 0.361 x2
3 Sr 0.336 0.513 0.758 x4
4 Mg 0.224 0.250 0.432 x2
5 Au 0.377 0.750 0.040 x2

---

Density functional theory data (PBE) for a geometry-optimized SrSb2H2 structure.

## Properties
excess energy over the best structure of this formula in the dataset	5	meV per atom

abc: 7.349 7.349 3.646
angles: 90.00 90.00 90.00
Space group P4/mbm (No. 127)
Inequivalent atoms, fractional coordinates:
1 Sr 0.000 0.000 0.000 x2
2 Sb 0.135 0.365 0.500 x4
3 H 0.122 0.622 0.000 x4

---

Density functional theory data (PBE) for a geometry-optimized Hf2CrSnH structure.

## Properties
uncorrected energy	-7.520	eV/atom

abc: 4.476 4.476 3.869
angles: 90.00 90.00 90.00
Space group P4/mmm (No. 123)
Inequivalent atoms, fractional coordinates:
1 Hf 0.000 0.500 0.000 x2
2 Cr 0.000 0.000 0.500 x1
3 Sn 0.500 0.500 0.500 x1
4 H 0.000 0.000 0.000 x1

---

Density functional theory data (PBE) for a geometry-optimized SrYTlPd structure.

## Properties
formation enthalpy at 0 K	-0.42	eV/atom

abc: 7.555 7.555 7.555
angles: 90.00 90.00 90.00
Space group F-43m (No. 216)
Inequivalent atoms, fractional coordinates:
1 Sr 0.000 0.000 0.000 x4
2 Y 0.000 0.000 0.500 x4
3 Tl 0.250 0.250 0.250 x4
4 Pd 0.250 0.250 0.750 x4

---

Density functional theory data (PBE) for a geometry-optimized Mg4HIr4 structure.

## Properties
excess energy over the best structure of this formula in the dataset	36	meV per atom

abc: 6.347 6.275 6.274
angles: 90.00 90.00 90.00
Space group Amm2 (No. 38)
Inequivalent atoms, fractional coordinates:
1 Mg 0.000 0.250 0.000 x4
2 Mg 0.500 0.250 0.000 x4
3 H 0.000 0.000 0.248 x2
4 Ir 0.248 0.000 0.750 x4
5 Ir 0.273 0.000 0.250 x4

---

Density functional theory data (PBE) for a geometry-optimized YZr3 structure.

## Properties
formation enthalpy at 0 K	0.06	eV/atom
excess energy over the best structure of this formula in the dataset	8	meV per atom

abc: 3.3132 3.3132 10.5845
angles: 90.00 90.00 120.00
Space group P-6m2 (No. 187)
Inequivalent atoms, fractional coordinates:
1 Y 0.0000 0.0000 0.0000 x1
2 Zr 0.0000 0.0000 0.5000 x1
3 Zr 0.3333 0.6667 0.2622 x2

---

Density functional theory data (PBE) for a geometry-optimized MgBiAsO6 structure.

## Properties
uncorrected formation energy	-10.57	eV/f.u.

abc: 6.634 5.133 8.450
angles: 90.00 107.71 90.00
Space group P2_1/m (No. 11)
Inequivalent atoms, fractional coordinates:
1 Mg 0.109 0.250 0.398 x2
2 Bi 0.204 0.750 0.032 x2
3 As 0.380 0.750 0.669 x2
4 O 0.030 0.031 0.166 x4
5 O 0.191 0.508 0.600 x4
6 O 0.417 0.250 0.408 x2
7 O 0.470 0.750 0.885 x2

---

Density functional theory data (PBE) for a geometry-optimized CaCoMo2 structure.

## Properties
formation enthalpy at 0 K	1.10	eV/atom
excess energy over the best structure of this formula in the dataset	673	meV per atom

abc: 4.734 4.734 16.720
angles: 90.00 90.00 90.00
Space group I-42d (No. 122)
Inequivalent atoms, fractional coordinates:
1 Ca 0.000 0.000 0.000 x4
2 Co 0.000 0.000 0.500 x4
3 Mo 0.016 0.750 0.625 x8

---

Density functional theory data (PBE) for a geometry-optimized Tb3Sb4Au3 structure.

## Properties
uncorrected formation energy	-8.31	eV/f.u.

abc: 9.962 9.962 9.962
angles: 90.00 90.00 90.00
Space group I-43d (No. 220)
Inequivalent atoms, fractional coordinates:
1 Tb 0.000 0.250 0.375 x12
2 Sb 0.089 0.089 0.089 x16
3 Au 0.000 0.250 0.875 x12

---

Density functional theory data (PBE) for a geometry-optimized Sn2OsPt structure.

## Properties
formation enthalpy at 0 K	0.24	eV/atom
excess energy over the best structure of this formula in the dataset	0	meV per atom

abc: 6.630 6.630 6.630
angles: 90.00 90.00 90.00
Space group Fm-3m (No. 225)
Inequivalent atoms, fractional coordinates:
1 Sn 0.250 0.250 0.250 x8
2 Os 0.000 0.000 0.000 x4
3 Pt 0.000 0.000 0.500 x4

---

Results for M_tot: 0.0; 7.1; 0.0; 0.0; 0.9; 0.0; 0.0; 0.0; 2.0; 0.0; 0.0; 0.0 (in μB per formula unit, following the order of the records).